A plane-wave DFT calculation with GGA-PBE was carried out for a geometry-optimized PmErCo structure.

Cell: 6.1805 3.9159 3.9159 Å, 120.00 90.00 90.00°
With the nearest neighbours (Å) after each atom.
Fractional positions:
1 Pm 0.7653 0.6667 0.3333  3 Co 2.70
2 Co 0.0051 0.0000 0.0000  3 Er 2.65, 3 Pm 2.70
3 Er 0.2296 0.3333 0.6667  3 Co 2.65

The relative energy among the computed polymorphs comes out at 105.1 meV per atom. As for the spin magnetization: 0.00 μB/atom. For the electronic total energy, the calculation gives -16.5 eV/cell.